1.
Below is a relaxed La14NdHo crystal, with properties calculated at the PBE-GGA level.

## Properties
- Total moment: 0.0 μB per cell
- E: -4.812 eV/atom
- E_form: 0.08 eV/atom
- Space group: Amm2

Lattice parameters (Å, degrees): 12.231 7.201 7.201 114.77 90.00 90.00
Atoms (fractional coordinates):
La: 0.000 0.000 0.000
La: 0.000 0.442 0.442
La: 0.000 0.542 0.990
La: 0.000 0.990 0.542
La: 0.244 0.289 0.830
La: 0.244 0.830 0.289
La: 0.253 0.748 0.748
La: 0.257 0.300 0.300
La: 0.500 0.034 0.526
La: 0.500 0.526 0.034
La: 0.743 0.300 0.300
La: 0.747 0.748 0.748
La: 0.756 0.289 0.830
La: 0.756 0.830 0.289
Nd: 0.500 0.014 0.014
Ho: 0.500 0.515 0.515

---

2.
Below is a relaxed La8Nd2Ho3 crystal, with properties calculated at the PBE-GGA level.

## Properties
- Energy above the most stable polymorph in this dataset: 0 meV/atom
- Total moment: 0.0 μB per cell
- E: -4.684 eV/atom
- E_form: 0.14 eV/atom
- Space group: C2/m

Lattice parameters (Å, degrees): 9.073 9.073 6.203 107.54 107.54 81.98
Atoms (fractional coordinates):
La: 0.083 0.083 0.244
La: 0.100 0.575 0.846
La: 0.362 0.362 0.386
La: 0.425 0.900 0.154
La: 0.575 0.100 0.846
La: 0.638 0.638 0.614
La: 0.900 0.425 0.154
La: 0.917 0.917 0.756
Nd: 0.187 0.187 0.831
Nd: 0.813 0.813 0.169
Ho: 0.233 0.767 0.500
Ho: 0.500 0.500 0.000
Ho: 0.767 0.233 0.500

---

Q: What is the formula in the second record?
A: La8Nd2Ho3